1.
Compound: SiRh2AuI
Source: Alexandria
Functional: PBE-GGA
Structure: optimized geometry

The energy above the most stable polymorph in this dataset is 0.0 kJ/mol of atoms. As for the total magnetization: 0.00 μB per cell. The calculation puts the uncorrected formation energy at -213.5 meV/atom.

The space group is P1 (No. 1) and the conventional cell measures 3.685, 3.831 and 7.953 Å, with angles of 91.22, 93.03 and 118.40 degrees. The distinct sites, in fractional coordinates, are Si at (0.000, 0.000, 0.000), Rh at (0.305, 0.636, 0.887), Rh at (0.703, 0.375, 0.128), Au at (0.927, 0.957, 0.665) and I at (0.277, 0.457, 0.386).


2.
Compound: Si2RhAuI
Source: Alexandria
Functional: PBE-GGA
Structure: optimized geometry

The energy above the most stable polymorph in this dataset is 5.5 kJ/mol of atoms. As for the total magnetization: 0.00 μB per cell. The calculation puts the uncorrected formation energy at -72.6 meV/atom.

The space group is P1 (No. 1) and the conventional cell measures 3.765, 4.341 and 7.800 Å, with angles of 93.69, 90.33 and 115.07 degrees. The distinct sites, in fractional coordinates, are Si at (0.000, 0.000, 0.000), Si at (0.468, 0.925, 0.247), Rh at (0.153, 0.301, 0.270), Au at (0.309, 0.611, 0.939) and I at (0.117, 0.234, 0.615).


3.
Compound: SiRh2AuI
Source: Alexandria
Functional: PBE-GGA
Structure: optimized geometry

The energy above the most stable polymorph in this dataset is 1.9 kJ/mol of atoms. As for the total magnetization: 0.00 μB per cell. The calculation puts the uncorrected formation energy at -193.3 meV/atom.

The space group is P1 (No. 1) and the conventional cell measures 3.707, 3.833 and 7.977 Å, with angles of 79.54, 89.86 and 61.11 degrees. The distinct sites, in fractional coordinates, are Si at (0.000, 0.000, 0.000), Rh at (0.353, 0.292, 0.112), Rh at (0.647, 0.708, 0.866), Au at (0.733, 0.533, 0.332) and I at (0.112, 0.782, 0.606).


4.
Compound: SiRh2AuI
Source: Alexandria
Functional: PBE-GGA
Structure: optimized geometry

The energy above the most stable polymorph in this dataset is 0.1 kJ/mol of atoms. As for the total magnetization: 0.00 μB per cell. The calculation puts the uncorrected formation energy at -212.7 meV/atom.

The space group is P3m1 (No. 156) and the conventional cell measures 3.8410, 3.8410 and 8.0096 Å, with angles of 90.00, 90.00 and 120.00 degrees. The distinct sites, in fractional coordinates, are Si at (0.0000, 0.0000, 0.0000), Rh at (0.3333, 0.6667, 0.8919), Rh at (0.6667, 0.3333, 0.1156), Au at (0.0000, 0.0000, 0.3285) and I at (0.3333, 0.6667, 0.5639).


5.
Compound: Si2RhAuI
Source: Alexandria
Functional: PBE-GGA
Structure: optimized geometry

The energy above the most stable polymorph in this dataset is 1.0 kJ/mol of atoms. As for the total magnetization: 0.00 μB per cell. The calculation puts the uncorrected formation energy at -119.6 meV/atom.

The space group is Imm2 (No. 44) and the conventional cell measures 3.815, 4.050 and 14.860 Å, with angles of 90.00, 90.00 and 90.00 degrees. The distinct sites, in fractional coordinates, are Si at (0.000, 0.000, 0.000), Si at (0.000, 0.000, 0.485), Rh at (0.000, 0.500, 0.080), Au at (0.000, 0.500, 0.386) and I at (0.000, 0.000, 0.725).


6.
Compound: Si2RhAuI
Source: Alexandria
Functional: PBE-GGA
Structure: optimized geometry

The energy above the most stable polymorph in this dataset is 1.0 kJ/mol of atoms. As for the total magnetization: 0.00 μB per cell. The calculation puts the uncorrected formation energy at -119.7 meV/atom.

The space group is Cm (No. 8) and the conventional cell measures 19.519, 2.868 and 3.874 Å, with angles of 90.00, 90.17 and 90.00 degrees. The distinct sites, in fractional coordinates, are Si at (0.000, 0.000, 0.000), Si at (0.137, 0.000, 0.502), Rh at (0.034, 0.500, 0.500), Au at (0.179, 0.500, 0.002) and I at (0.356, 0.500, 0.997).


7.
Compound: Si2RhAuI
Source: Alexandria
Functional: PBE-GGA
Structure: optimized geometry

The energy above the most stable polymorph in this dataset is 5.7 kJ/mol of atoms. As for the total magnetization: 0.00 μB per cell. The calculation puts the uncorrected formation energy at -70.4 meV/atom.

The space group is Cm (No. 8) and the conventional cell measures 7.972, 3.583 and 7.773 Å, with angles of 90.00, 95.85 and 90.00 degrees. The distinct sites, in fractional coordinates, are Si at (0.000, 0.000, 0.000), Si at (0.181, 0.500, 0.781), Rh at (0.296, 0.000, 0.970), Au at (0.396, 0.000, 0.637) and I at (0.210, 0.000, 0.305).


8.
Compound: Si2RhAuI
Source: Alexandria
Functional: PBE-GGA
Structure: optimized geometry

The energy above the most stable polymorph in this dataset is 0.0 kJ/mol of atoms. As for the total magnetization: 0.00 μB per cell. The calculation puts the uncorrected formation energy at -129.7 meV/atom.

The space group is Pm (No. 6) and the conventional cell measures 3.974, 3.863 and 8.011 Å, with angles of 90.00, 103.97 and 90.00 degrees. The distinct sites, in fractional coordinates, are Si at (0.000, 0.000, 0.000), Si at (0.490, 0.500, 0.980), Rh at (0.580, 0.000, 0.163), Au at (0.896, 0.500, 0.787) and I at (0.700, 0.500, 0.424).


9.
Compound: Sr6Rh2AuI3
Source: Alexandria
Functional: PBE-GGA
Structure: optimized geometry

As for the total magnetization: 0.00 μB per cell. The calculation puts the uncorrected formation energy at -852.7 meV/atom.

The space group is C2/m (No. 12) and the conventional cell measures 7.711, 13.335 and 8.635 Å, with angles of 90.00, 107.27 and 90.00 degrees. The distinct sites, in fractional coordinates, are Sr at (0.211, 0.000, 0.198), Sr at (0.244, 0.323, 0.200), Rh at (0.000, 0.167, 0.000), Au at (0.000, 0.500, 0.000), I at (0.000, 0.000, 0.500) and I at (0.000, 0.338, 0.500).


10.
Compound: TcRhAuI2
Source: Alexandria
Functional: PBE-GGA
Structure: optimized geometry

As for the total magnetization: 5.12 μB per cell. The calculation puts the uncorrected formation energy at 1652.5 meV/atom.

The space group is P4/mmm (No. 123) and the conventional cell measures 5.420, 5.420 and 5.005 Å, with angles of 90.00, 90.00 and 90.00 degrees. The distinct sites, in fractional coordinates, are Tc at (0.000, 0.000, 0.000), Rh at (0.500, 0.500, 0.000), Au at (0.000, 0.000, 0.500) and I at (0.000, 0.500, 0.500).


11.
Compound: TeRhAuI2
Source: Alexandria
Functional: PBE-GGA
Structure: optimized geometry

The energy above the most stable polymorph in this dataset is 0.0 kJ/mol of atoms. As for the total magnetization: 0.00 μB per cell. The calculation puts the uncorrected formation energy at 482.8 meV/atom.

The space group is P4/mmm (No. 123) and the conventional cell measures 5.526, 5.526 and 5.040 Å, with angles of 90.00, 90.00 and 90.00 degrees. The distinct sites, in fractional coordinates, are Te at (0.000, 0.000, 0.000), Rh at (0.000, 0.000, 0.500), Au at (0.500, 0.500, 0.000) and I at (0.000, 0.500, 0.500).


12.
Compound: RuAuI3
Source: Alexandria
Functional: PBE-GGA
Structure: optimized geometry

The energy above the most stable polymorph in this dataset is 37.3 kJ/mol of atoms. As for the total magnetization: 3.20 μB per cell. The calculation puts the uncorrected formation energy at 1019.5 meV/atom.

The space group is Pm-3m (No. 221) and the conventional cell measures 5.651, 5.651 and 5.651 Å, with angles of 90.00, 90.00 and 90.00 degrees. The distinct sites, in fractional coordinates, are Ru at (0.000, 0.000, 0.000), Au at (0.500, 0.500, 0.500) and I at (0.000, 0.500, 0.500).


13.
Compound: RuAu3I
Source: Alexandria
Functional: PBE-GGA
Structure: optimized geometry

The energy above the most stable polymorph in this dataset is 0.0 kJ/mol of atoms. As for the total magnetization: 2.20 μB per cell. The calculation puts the uncorrected formation energy at 1056.8 meV/atom.

The space group is Pm-3m (No. 221) and the conventional cell measures 5.104, 5.104 and 5.104 Å, with angles of 90.00, 90.00 and 90.00 degrees. The distinct sites, in fractional coordinates, are Ru at (0.000, 0.000, 0.000), Au at (0.000, 0.000, 0.500) and I at (0.500, 0.500, 0.500).


14.
Compound: RuAuI3
Source: Alexandria
Functional: PBE-GGA
Structure: optimized geometry

The energy above the most stable polymorph in this dataset is 0.0 kJ/mol of atoms. As for the total magnetization: 1.34 μB per cell. The calculation puts the uncorrected formation energy at 632.6 meV/atom.

The space group is Pm-3m (No. 221) and the conventional cell measures 5.409, 5.409 and 5.409 Å, with angles of 90.00, 90.00 and 90.00 degrees. The distinct sites, in fractional coordinates, are Ru at (0.000, 0.000, 0.000), Au at (0.500, 0.500, 0.500) and I at (0.000, 0.000, 0.500).